(1)
SrZnW | PBE | optimized geometry

Results
Magnetic moment   0.00 μB/f.u.
Space-group type   P3m1, No. 156
Energy   -0.16026 Ha/atom
Energy of formation from the pure elements   2.826 eV per formula unit

Unit cell a=3.0363 b=3.0363 c=7.7971 alpha=90.00 beta=90.00 gamma=120.00
Closest atoms and distances in Å follow each position.
Atoms (fractional coordinates):
1 W 0.6667 0.3333 0.3578  3 Zn 2.79, 6 W 3.04
2 Sr 0.0000 0.0000 0.0064  6 Sr 3.04, 3 W 3.25, 3 Zn 3.38
3 Zn 0.3333 0.6667 0.6358  3 W 2.79, 6 Zn 3.04

=====

(2)
KAg2I2Cl | PBE | optimized geometry

Results
Formation energy from raw total energies   -0.706 eV per atom
Magnetic moment   0.00 μB/f.u.
Space-group type   P2_1/m, No. 11
Energy   -0.09789 Ha/atom

Unit cell a=5.9369 b=8.7682 c=9.5346 alpha=107.17 beta=90.00 gamma=90.00
Closest atoms and distances in Å follow each position.
Atoms (fractional coordinates):
1 Cl 0.7500 0.8822 0.0675  4 Ag 2.70-2.75
2 Cl 0.2500 0.1178 0.9325  4 Ag 2.70-2.75
3 Ag 0.5020 0.1571 0.1760  2 Cl 2.70-2.75, 2 I 2.83, 2 Ag 2.94-2.99
4 Ag 0.4980 0.8429 0.8240  2 Cl 2.70-2.75, 2 I 2.83, 2 Ag 2.94-2.99
5 Ag 0.9980 0.1571 0.1760  2 Cl 2.70-2.75, 2 I 2.83, 2 Ag 2.94-2.99
6 Ag 0.0020 0.8429 0.8240  2 Cl 2.70-2.75, 2 I 2.83, 2 Ag 2.94-2.99
7 K 0.7500 0.3128 0.5976  6 I 3.59-3.75
8 K 0.2500 0.6872 0.4024  6 I 3.59-3.75
9 I 0.2500 0.5539 0.7418  2 Ag 2.83
10 I 0.7500 0.9017 0.5931  2 Ag 2.83
11 I 0.7500 0.4461 0.2582  2 Ag 2.83
12 I 0.2500 0.0983 0.4069  2 Ag 2.83

=====

(3)
TaCu3Pd4 | PBE | optimized geometry

Results
Magnetic moment   0.00 μB/f.u.
Space-group type   I4/mmm, No. 139
Energy   -0.21538 Ha/atom
Energy of formation from the pure elements   -1.975 eV per formula unit

Unit cell a=3.9576 b=3.9576 c=7.9042 alpha=104.52 beta=104.50 gamma=90.00
Closest atoms and distances in Å follow each position.
Atoms (fractional coordinates):
1 Pd 0.8755 0.8758 0.7510  6 Cu 2.67-2.75, 2 Ta 2.70, 4 Pd 2.80
2 Pd 0.3755 0.3754 0.7510  6 Cu 2.67-2.75, 2 Ta 2.70, 4 Pd 2.80
3 Pd 0.6245 0.6246 0.2490  6 Cu 2.67-2.75, 2 Ta 2.70, 4 Pd 2.80
4 Pd 0.1245 0.1242 0.2490  6 Cu 2.67-2.75, 2 Ta 2.70, 4 Pd 2.80
5 Cu 0.0000 0.5000 0.0000  8 Pd 2.70, 4 Ta 2.80
6 Cu 0.2459 0.7458 0.4919  8 Pd 2.67-2.75, 4 Cu 2.80
7 Cu 0.7541 0.2542 0.5081  8 Pd 2.67-2.75, 4 Cu 2.80
8 Ta 0.5000 0.0000 0.0000  8 Pd 2.70, 4 Cu 2.80

=====

no.,D(E_F) (states/eV/f.u.)
1,1.34
2,0.00
3,5.18